DFT (SCAN) results for a PBEsol-optimized structure of MgZn3Cu3.

Geometry as POSCAR:
```
MgZn3Cu3
1.0
4.271 0.000 0.000
0.000 7.066 0.000
0.000 -3.533 6.119
Cu Mg Zn
6 2 6
Direct
0.750 0.775 0.966 Cu
0.750 0.191 0.225 Cu
0.750 0.034 0.809 Cu
0.250 0.225 0.034 Cu
0.250 0.809 0.775 Cu
0.250 0.966 0.191 Cu
0.750 0.333 0.667 Mg
0.250 0.667 0.333 Mg
0.750 0.912 0.367 Zn
0.750 0.455 0.088 Zn
0.750 0.633 0.545 Zn
0.250 0.088 0.633 Zn
0.250 0.545 0.912 Zn
0.250 0.367 0.455 Zn
```

Values from the calculation:
Calculated volume ... 13.19 A^3/atom
Calculated formation energy ... -64 meV per atom
DOS(E_F) ... 3.71 states/eV per cell